# MgCuCO2 PBE optimized geometry
data_MgCuCO2
_chemical_formula_sum 'Mg1 Cu1 C1 O2'
_cell_length_a 3.958
_cell_length_b 3.958
_cell_length_c 3.571
_cell_angle_alpha 90.00
_cell_angle_beta 90.00
_cell_angle_gamma 90.00
_symmetry_space_group_name_H-M 'P 4/m m m'
_symmetry_Int_Tables_number 123
_symmetry_space_group_name_Hall '-P 4 2'
loop_
_atom_site_label
_atom_site_type_symbol
_atom_site_fract_x
_atom_site_fract_y
_atom_site_fract_z
Mg1 Mg 0.000 0.000 0.000
Cu1 Cu 0.500 0.500 0.500
C1 C 0.500 0.500 0.000
O1 O 0.000 0.500 0.500
# Formation energy from raw total energies, eV per atom: 0.317
# Total magnetization, μB per atom: 0.00

***

# ScAs5 PBE optimized geometry
data_ScAs5
_chemical_formula_sum 'Sc2 As10'
_cell_length_a 3.883
_cell_length_b 16.110
_cell_length_c 3.899
_cell_angle_alpha 90.00
_cell_angle_beta 90.00
_cell_angle_gamma 90.00
_symmetry_space_group_name_H-M 'C m m m'
_symmetry_Int_Tables_number 65
_symmetry_space_group_name_Hall '-C 2 2'
loop_
_atom_site_label
_atom_site_type_symbol
_atom_site_fract_x
_atom_site_fract_y
_atom_site_fract_z
Sc1 Sc 0.000 0.000 0.000
As1 As 0.000 0.143 0.500
As2 As 0.000 0.343 0.000
As3 As 0.000 0.500 0.500
# Polymorph energy (0 for the lowest one), meV per atom: 65
# E_form, eV/atom: -0.15
# Total magnetization, μB per atom: 0.00

***

# BaYAs2Se PBE optimized geometry
data_BaYAs2Se
_chemical_formula_sum 'Ba1 Y1 As2 Se1'
_cell_length_a 5.446
_cell_length_b 5.446
_cell_length_c 5.518
_cell_angle_alpha 90.00
_cell_angle_beta 90.00
_cell_angle_gamma 90.00
_symmetry_space_group_name_H-M 'P 4/m m m'
_symmetry_Int_Tables_number 123
_symmetry_space_group_name_Hall '-P 4 2'
loop_
_atom_site_label
_atom_site_type_symbol
_atom_site_fract_x
_atom_site_fract_y
_atom_site_fract_z
Ba1 Ba 0.000 0.000 0.000
Y1 Y 0.500 0.500 0.500
As1 As 0.000 0.500 0.500
Se1 Se 0.500 0.500 0.000
# Polymorph energy (0 for the lowest one), meV per atom: 0
# Formation energy from raw total energies, eV per atom: -0.825
# Total magnetization, μB per atom: 0.00

***

# NaBiBr2 PBE optimized geometry
data_NaBiBr2
_chemical_formula_sum 'Na3 Bi3 Br6'
_cell_length_a 3.9217
_cell_length_b 3.9217
_cell_length_c 28.0281
_cell_angle_alpha 90.00
_cell_angle_beta 90.00
_cell_angle_gamma 120.00
_symmetry_space_group_name_H-M 'R -3 m'
_symmetry_Int_Tables_number 166
_symmetry_space_group_name_Hall '-R 3 2"'
loop_
_atom_site_label
_atom_site_type_symbol
_atom_site_fract_x
_atom_site_fract_y
_atom_site_fract_z
Na1 Na 0.0000 0.0000 0.0000
Bi1 Bi 0.0000 0.0000 0.5000
Br1 Br 0.0000 0.0000 0.3978
# Polymorph energy (0 for the lowest one), meV per atom: 0
# Formation energy from raw total energies, eV per atom: -0.863
# Total magnetization, μB per atom: 0.00

***

Repeat the fourth record exactly.
# NaBiBr2 PBE optimized geometry
data_NaBiBr2
_chemical_formula_sum 'Na3 Bi3 Br6'
_cell_length_a 3.9217
_cell_length_b 3.9217
_cell_length_c 28.0281
_cell_angle_alpha 90.00
_cell_angle_beta 90.00
_cell_angle_gamma 120.00
_symmetry_space_group_name_H-M 'R -3 m'
_symmetry_Int_Tables_number 166
_symmetry_space_group_name_Hall '-R 3 2"'
loop_
_atom_site_label
_atom_site_type_symbol
_atom_site_fract_x
_atom_site_fract_y
_atom_site_fract_z
Na1 Na 0.0000 0.0000 0.0000
Bi1 Bi 0.0000 0.0000 0.5000
Br1 Br 0.0000 0.0000 0.3978
# Polymorph energy (0 for the lowest one), meV per atom: 0
# Formation energy from raw total energies, eV per atom: -0.863
# Total magnetization, μB per atom: 0.00

***

Q: Look up the total magnetization of the first one.
A: 0.00 μB per atom